(1)
Density functional theory data (GGA-PBE) for a geometry-optimized AgHg2Se structure.

Structure (extended XYZ):
```
4
Lattice="-4.8968 2.8294 -4.0985 -6.8436 0.5139 -1.2972 -5.5097 4.2827 -0.2891" Properties=species:S:1:pos:R:3 pbc="T T T"
Ag -12.9376 5.7195 -4.2636
Hg -0.0082 0.0036 -0.0027
Hg -8.6168 3.8094 -2.8397
Se -4.3125 1.9065 -1.4212
```

The symmetry is R-3m. The value obtained for the volume is 24.2 Å³/atom. The value obtained for the formation energy (no corrections) is 1.41 kcal/mol of atoms.

(2)
Density functional theory data (GGA-PBE) for a geometry-optimized AgHgSe4 structure.

Structure (extended XYZ):
```
6
Lattice="1.3891 1.5297 5.4359 -0.8434 5.4693 1.7871 -4.1949 1.1873 3.8486" Properties=species:S:1:pos:R:3 pbc="T T T"
Ag -2.7369 6.1397 8.3038
Hg 0.0000 0.0000 0.0000
Se -0.6588 3.8313 6.8873
Se -3.4874 3.6578 6.0833
Se -1.7897 5.8270 5.0390
Se -1.3625 3.0564 4.1337
```

The symmetry is F-43m. The value obtained for the volume is 23.2 Å³/atom. The value obtained for the formation energy (no corrections) is 10.60 kcal/mol of atoms.

(3)
Density functional theory data (GGA-PBE) for a geometry-optimized Ag14Hg2Se9 structure.

Structure (extended XYZ):
```
25
Lattice="-4.1458 -5.0218 4.4590 2.4771 -2.2028 -7.1625 9.2964 -3.7858 4.3795" Properties=species:S:1:pos:R:3 pbc="T T T"
Ag 10.1256 -5.2153 -0.7123
Ag 4.1418 -3.8907 3.7663
Ag 2.1103 -7.7123 4.7748
Ag 2.3994 -0.9771 1.1303
Ag 6.8970 -2.8087 3.2492
Ag 8.1654 -5.8308 2.9165
Ag 8.2722 -8.8695 0.0628
Ag 3.4801 -3.7640 0.8231
Ag 4.1476 -7.2465 0.8529
Ag -0.6445 -2.1409 1.6132
Ag -0.5377 -5.1797 -1.2404
Ag 5.5174 -3.2982 -3.0988
Ag 3.4860 -7.1198 -2.0902
Ag -2.4979 -5.7951 2.3883
Hg 2.8273 -4.1841 -2.0836
Hg 4.8004 -6.8263 3.7597
Se 1.6219 -3.1251 2.8316
Se -0.1517 -6.8405 3.3845
Se 0.5160 -3.2429 -3.1725
Se 0.0000 0.0000 0.0000
Se 5.7714 -5.0070 1.8303
Se 1.8563 -6.0034 -0.1542
Se 7.1118 -7.7676 4.8486
Se 7.7794 -4.1700 -1.7084
Se 6.0058 -7.8853 -1.1556
```

The symmetry is P-3. The value obtained for the volume is 23.6 Å³/atom. The value obtained for the formation energy (no corrections) is -0.83 kcal/mol of atoms.

(4)
Density functional theory data (GGA-PBE) for a geometry-optimized Ag2HgSe2 structure.

Structure (extended XYZ):
```
5
Lattice="5.1255 0.0000 0.0000 0.0000 5.1255 0.0000 2.5627 2.5627 4.6078" Properties=species:S:1:pos:R:3 pbc="T T T"
Se 2.5627 2.5627 1.2324
Se 5.1254 5.1254 3.3754
Hg 0.0000 0.0000 0.0000
Ag 5.1255 2.5627 2.3039
Ag 2.5627 5.1255 2.3039
```

The symmetry is I4/mmm. The value obtained for the volume is 24.2 Å³/atom. The value obtained for the formation energy (no corrections) is 0.10 kcal/mol of atoms.

(5)
Density functional theory data (GGA-PBE) for a geometry-optimized Ag2HgSe2 structure.

Structure (extended XYZ):
```
10
Lattice="-1.1659 -1.3478 8.4721 -7.6239 -3.7573 -1.6469 1.3258 -2.5897 -0.2295" Properties=species:S:1:pos:R:3 pbc="T T T"
Se -4.4538 -3.9313 0.0750
Se -6.5852 -5.3683 3.9766
Se -3.0101 -3.7634 6.5207
Se -0.8787 -2.3264 2.6192
Hg 0.0000 0.0000 0.0000
Hg -4.3949 -2.5525 3.4126
Ag -6.8829 -3.6622 1.5611
Ag -5.9506 -3.5893 6.1245
Ag -1.9069 -1.4428 5.2641
Ag -2.8392 -1.5157 0.7008
```

The symmetry is P4/mbm. The value obtained for the volume is 21.9 Å³/atom. The value obtained for the formation energy (no corrections) is 2.28 kcal/mol of atoms.

(6)
Density functional theory data (GGA-PBE) for a geometry-optimized Ag2Hg2Se structure.

Structure (extended XYZ):
```
5
Lattice="-2.6876 2.5644 1.2623 -1.5596 0.1363 -3.5975 -6.5957 -4.1877 0.5614" Properties=species:S:1:pos:R:3 pbc="T T T"
Se 0.0000 0.0000 0.0000
Hg -3.0269 0.2318 -0.8184
Hg -7.8161 -1.7187 -0.9554
Ag -5.7035 -0.1364 0.3281
Ag -5.1395 -1.3505 -2.1019
```

The symmetry is I4/mmm. The value obtained for the volume is 22.6 Å³/atom. The value obtained for the formation energy (no corrections) is 2.38 kcal/mol of atoms. The energy above the most stable polymorph in this dataset is 8 meV per atom.

(7)
Density functional theory data (GGA-PBE) for a geometry-optimized AgHg2Se structure.

Structure (extended XYZ):
```
4
Lattice="4.4732 0.0000 0.0000 0.0000 4.9662 -0.1502 0.0000 1.4165 4.4800" Properties=species:S:1:pos:R:3 pbc="T T T"
Ag 2.2366 4.6374 3.1265
Hg 0.0000 6.2556 4.2359
Hg 2.2366 1.6085 1.1024
Se 0.0000 3.4551 2.3597
```

The symmetry is Pm. The value obtained for the volume is 25.1 Å³/atom. The value obtained for the formation energy (no corrections) is 1.34 kcal/mol of atoms.

(8)
Density functional theory data (GGA-PBE) for a geometry-optimized AgHg3Se structure.

Structure (extended XYZ):
```
5
Lattice="-1.9395 -3.3885 -3.9024 5.1127 -0.6483 -1.9780 0.7559 -4.3093 3.3661" Properties=species:S:1:pos:R:3 pbc="T T T"
Se 0.0000 0.0000 0.0000
Hg 2.5563 -0.3242 -0.9890
Hg 0.3779 -2.1546 1.6831
Hg -0.9697 -1.6942 -1.9512
Ag 1.9645 -4.1731 -1.2571
```

The symmetry is Pm-3m. The value obtained for the volume is 33.6 Å³/atom. The value obtained for the formation energy (no corrections) is 9.93 kcal/mol of atoms. The energy above the most stable polymorph in this dataset is 61 meV per atom.

(9)
Density functional theory data (GGA-PBE) for a geometry-optimized Ag3Hg12Se5 structure.

Structure (extended XYZ):
```
80
Lattice="-4.6345 5.1695 -12.4343 12.9889 -5.5795 -1.7239 -8.9380 -10.1022 4.5684" Properties=species:S:1:pos:R:3 pbc="T T T"
Ag 0.2777 0.5220 -9.4011
Ag 4.5692 -0.9242 -11.6019
Ag 2.4174 -8.5600 -3.1005
Ag -2.8868 -3.1934 -1.6109
Ag -4.6661 1.3003 -9.9534
Ag 4.1456 -4.0742 -4.5982
Ag -4.7293 -6.4381 -4.9916
Ag 4.0824 -11.8126 0.3636
Ag 2.3031 -7.3189 -7.9789
Ag -3.0011 -1.9523 -6.4893
Ag -5.1529 -9.5881 2.0121
Ag -0.8614 -11.0343 -0.1887
Se 2.0570 -3.9717 -1.0587
Se 6.4944 -2.7898 -0.8620
Se 0.0000 0.0000 0.0000
Se 0.3920 -0.7191 -4.5228
Se -6.7863 -2.4664 -3.9329
Se 4.1772 -0.2050 -7.0791
Se 5.8106 -7.3268 -1.1341
Se -9.6730 -5.6598 -5.5439
Se 1.2904 -3.3984 -8.6900
Se -6.8179 -6.3356 -1.4521
Se 6.2342 -4.1767 -8.1378
Se -0.2918 -5.2561 -4.7949
Se -2.3172 2.5847 -6.2171
Se -4.4690 -5.0511 2.2842
Se -1.8741 -7.1139 -0.8998
Se 9.0894 -4.8525 -4.0459
Se 2.0254 -7.8409 1.4222
Se -6.3942 -3.1855 -8.4557
Se -0.9757 -9.7932 -5.0670
Se -2.6407 -6.5406 -8.5312
Hg -2.3319 2.4825 -9.1326
Hg 1.9214 -5.8650 -2.9946
Hg -1.8314 0.1385 -11.1113
Hg -0.6312 0.2830 -6.8249
Hg 0.7167 -7.8042 -5.7953
Hg 1.4081 -0.0966 -11.8218
Hg 4.9146 -6.4897 -3.5522
Hg 10.0898 -5.9038 -1.7558
Hg 3.5058 -9.1530 -5.5467
Hg 2.9408 -1.3838 -9.4439
Hg -1.1704 -2.2755 -8.5053
Hg 7.7744 -1.5951 -11.5563
Hg 3.9910 -9.1508 -0.2898
Hg 2.9197 -1.6363 -4.8699
Hg 8.2941 -8.4006 -1.3068
Hg -5.1914 -4.4141 -2.4587
Hg -0.3606 -2.8304 -0.6075
Hg 6.1891 -2.1732 -6.3116
Hg 5.3905 -3.3289 -10.5709
Hg 3.8641 -2.1604 -1.9555
Hg 3.6558 -10.9852 -2.7763
Hg 2.0661 -4.4961 -6.3353
Hg 1.3252 -5.4384 -10.4756
Hg -7.2657 -6.8375 -5.9544
Hg -2.6497 -6.0162 -3.2545
Hg -1.9089 -5.0739 0.8857
Hg 6.6820 -3.6748 -3.6354
Hg -5.9741 -7.1834 0.9811
Hg -4.2394 0.4729 -6.8135
Hg -4.4478 -8.3519 -7.6343
Hg -6.7728 -8.3391 -3.2782
Hg 4.6077 -6.0982 -7.1311
Hg -0.2231 -7.6819 -8.9823
Hg -8.8778 -2.1117 -8.2830
Hg -4.5746 -1.3615 -9.3001
Hg -8.3581 -8.9172 1.9665
Hg -3.5034 -8.8760 -4.7199
Hg -4.0895 -1.3593 -4.0431
Hg -3.5244 -9.1285 -0.1459
Hg 0.5868 -8.2368 -1.0845
Hg -10.6735 -4.6085 -7.8340
Hg -5.4982 -4.0226 -6.0376
Hg 0.0475 -10.7953 -2.7649
Hg -1.9918 -10.4157 2.2320
Hg -1.3004 -2.7081 -3.7945
Hg 1.2478 -10.6508 1.5215
Hg -2.5051 -4.6473 -6.5952
Hg 1.7482 -12.9948 -0.4572
```

The symmetry is Ia-3d. The value obtained for the volume is 27.8 Å³/atom. The value obtained for the formation energy (no corrections) is 0.15 kcal/mol of atoms.

(10)
Density functional theory data (GGA-PBE) for a geometry-optimized AgHg2Se structure.

Structure (extended XYZ):
```
4
Lattice="-1.0896 -1.8356 2.2644 -2.3427 -0.8581 -1.8599 5.1034 -6.9840 -3.2059" Properties=species:S:1:pos:R:3 pbc="T T T"
Ag 2.1114 -6.5849 -2.2022
Hg 5.0006 -6.8434 -3.1413
Hg 2.6544 -3.6327 -1.6675
Se -0.4403 -3.0929 -0.5992
```

The symmetry is Cmmm. The value obtained for the volume is 22.3 Å³/atom. The value obtained for the formation energy (no corrections) is 4.23 kcal/mol of atoms.

(11)
Density functional theory data (GGA-PBE) for a geometry-optimized AgHg2Se structure.

Structure (extended XYZ):
```
4
Lattice="-2.6304 2.2500 -4.3267 5.6532 -2.6498 -1.8944 -1.2626 -2.2971 -1.6819" Properties=species:S:1:pos:R:3 pbc="T T T"
Ag 1.5114 -0.1999 -3.1105
Hg 0.0000 0.0000 0.0000
Hg -1.9465 -0.0235 -3.0043
Se 2.1953 -2.4734 -1.7881
```

The symmetry is C2/m. The value obtained for the volume is 24.3 Å³/atom. The value obtained for the formation energy (no corrections) is 3.68 kcal/mol of atoms.

(12)
Density functional theory data (GGA-PBE) for a geometry-optimized Ag2HgSe2 structure.

Structure (extended XYZ):
```
5
Lattice="3.9887 0.0000 0.0000 0.0000 3.9887 0.0000 1.9943 1.9943 7.1183" Properties=species:S:1:pos:R:3 pbc="T T T"
Se 3.9887 1.9943 3.5591
Se 1.9943 3.9887 3.5591
Hg 0.0000 0.0000 0.0000
Ag 1.9943 1.9943 1.3618
Ag 3.9887 3.9887 5.7565
```

The symmetry is I4/mmm. The value obtained for the volume is 22.6 Å³/atom. The value obtained for the formation energy (no corrections) is 4.08 kcal/mol of atoms.